(1)
Here is an optimized crystal structure of Sr6IO12 from the Alexandria database. Energies are from PBE-GGA.

* ρ: 4.50 g/cm³
* calculated volume: 16.41 A^3/atom
* uncorrected formation energy: -1.834 eV/atom

a b c (Å): 6.8756 6.8756 6.8756
angles (deg): 98.93 98.93 98.93
Element x y z (fractional)
Sr  0.1697  0.6157  0.2578
Sr  0.2578  0.1697  0.6157
Sr  0.3843  0.7422  0.8303
Sr  0.6157  0.2578  0.1697
Sr  0.7422  0.8303  0.3843
Sr  0.8303  0.3843  0.7422
I  0.0000  0.0000  0.0000
O  0.0183  0.7225  0.9386
O  0.0614  0.9817  0.2775
O  0.1166  0.4807  0.5590
O  0.2775  0.0614  0.9817
O  0.4410  0.8834  0.5193
O  0.4807  0.5590  0.1166
O  0.5193  0.4410  0.8834
O  0.5590  0.1166  0.4807
O  0.7225  0.9386  0.0183
O  0.8834  0.5193  0.4410
O  0.9386  0.0183  0.7225
O  0.9817  0.2775  0.0614

***

(2)
Here is an optimized crystal structure of LiInTe2N from the Alexandria database. Energies are from PBE-GGA.

* ρ: 5.79 g/cm³
* calculated volume: 22.41 A^3/atom
* offset from the most stable computed form: 0.103 eV/atom
* uncorrected formation energy: 0.670 eV/atom

a b c (Å): 5.4953 5.4953 3.7100
angles (deg): 90.00 90.00 90.00
Element x y z (fractional)
Li  0.0000  0.0000  0.0000
In  0.5000  0.5000  0.5000
Te  0.0000  0.5000  0.0000
Te  0.5000  0.0000  0.0000
N  0.0000  0.0000  0.5000

***

> Which value of ρ does entry 1 give?

4.50 g/cm³

***

> What is the formula in the second record?

LiInTe2N

***

> Number 1 is which compound?

Sr6IO12